Record 1
InPt2W | GGA-PBE | optimized geometry

Structure (extended XYZ):
```
12
Lattice="2.918 0.000 0.000 -1.459 2.527 0.000 0.000 0.000 27.614" Properties=species:S:1:pos:R:3 pbc="T T T"
In 0.000 0.000 0.000
In 0.000 1.685 18.409
In 1.459 0.842 9.205
Pt 0.000 0.000 13.847
Pt 0.000 0.000 20.703
Pt 0.000 1.685 4.642
Pt 0.000 1.685 11.498
Pt 1.459 0.842 2.293
Pt 1.459 0.842 23.052
W 0.000 0.000 6.768
W 0.000 1.685 25.177
W 1.459 0.842 15.973
```

Results
- DOS at the Fermi energy (states/eV per cell) = 11.6
- VASP energy (eV/f.u.) = -27.54
- symmetry = No. 160
- total moment (Bohr magnetons per cell) = 0.00


Record 2
Li3Zn2CdPt3 | GGA-PBE | optimized geometry

Structure (extended XYZ):
```
9
Lattice="7.362 0.000 0.000 -3.681 6.376 0.000 0.000 0.000 2.819" Properties=species:S:1:pos:R:3 pbc="T T T"
Li -1.145 1.983 0.000
Li 2.289 0.000 0.000
Li 2.536 4.393 0.000
Zn 0.000 4.250 0.000
Zn 3.681 2.125 0.000
Cd 0.000 0.000 1.410
Pt -2.297 3.979 1.410
Pt 1.384 2.397 1.410
Pt 4.594 0.000 1.410
```

Results
- DOS at the Fermi energy (states/eV per cell) = 1.7
- VASP energy (eV/f.u.) = -31.99
- symmetry = No. 189
- total moment (Bohr magnetons per cell) = 0.00


Record 3
Cs2RbReO4 | GGA-PBE | optimized geometry

Structure (extended XYZ):
```
16
Lattice="6.759 0.000 0.000 0.000 6.759 0.000 0.000 0.000 8.477" Properties=species:S:1:pos:R:3 pbc="T T T"
Cs 0.000 0.000 0.000
Cs 0.000 3.380 2.119
Cs 3.380 0.000 6.358
Cs 3.380 3.380 4.238
Rb 0.000 0.000 4.238
Rb 3.380 3.380 0.000
Re 0.000 3.380 6.358
Re 3.380 0.000 2.119
O 1.177 2.045 5.878
O 1.334 4.556 6.837
O 2.045 5.583 2.598
O 2.203 1.334 1.640
O 4.556 5.425 1.640
O 4.714 1.177 2.598
O 5.425 2.203 6.837
O 5.583 4.714 5.878
```

Results
- DOS at the Fermi energy (states/eV per cell) = 0.0
- VASP energy (eV/f.u.) = -47.94
- uncorrected formation energy (meV/atom) = -1624
- symmetry = No. 82
- total moment (Bohr magnetons per cell) = 0.00


> Which formula does entry 2 have?

Li3Zn2CdPt3


Repeat the third record exactly.
Cs2RbReO4 | GGA-PBE | optimized geometry

Structure (extended XYZ):
```
16
Lattice="6.759 0.000 0.000 0.000 6.759 0.000 0.000 0.000 8.477" Properties=species:S:1:pos:R:3 pbc="T T T"
Cs 0.000 0.000 0.000
Cs 0.000 3.380 2.119
Cs 3.380 0.000 6.358
Cs 3.380 3.380 4.238
Rb 0.000 0.000 4.238
Rb 3.380 3.380 0.000
Re 0.000 3.380 6.358
Re 3.380 0.000 2.119
O 1.177 2.045 5.878
O 1.334 4.556 6.837
O 2.045 5.583 2.598
O 2.203 1.334 1.640
O 4.556 5.425 1.640
O 4.714 1.177 2.598
O 5.425 2.203 6.837
O 5.583 4.714 5.878
```

Results
- DOS at the Fermi energy (states/eV per cell) = 0.0
- VASP energy (eV/f.u.) = -47.94
- uncorrected formation energy (meV/atom) = -1624
- symmetry = No. 82
- total moment (Bohr magnetons per cell) = 0.00